# 1
First-principles (PBE) data for crystalline Na2Cd8Sn at its relaxed geometry, as listed in the Alexandria database.

```
Na2Cd8Sn
1.0
3.9102 -7.8676 0.0000
3.9102 7.8676 0.0000
-3.5932 0.0000 4.5132
Na Cd Sn
2 8 1
Direct
0.1831 0.8169 0.0000
0.8169 0.1831 0.0000
0.0463 0.0463 0.7982
0.1486 0.4060 0.7186
0.2908 0.7092 0.5000
0.4060 0.1486 0.7186
0.5940 0.8514 0.2814
0.7092 0.2908 0.5000
0.8514 0.5940 0.2814
0.9537 0.9537 0.2018
0.5000 0.5000 0.5000
```

Values from the calculation:
* total moment: 0.000 μB/atom
* E_form: -0.09 eV/f.u.
* V: 278 Å³/f.u.

# 2
First-principles (PBE) data for crystalline Na6CdSn at its relaxed geometry, as listed in the Alexandria database.

```
Na6CdSn
1.0
6.1593 0.0000 0.0000
-0.0561 6.1642 0.0000
-0.1107 -0.1022 6.2050
Na Cd Sn
6 1 1
Direct
0.0006 0.2558 0.4980
0.2438 0.0006 0.9992
0.4985 0.5014 0.7557
0.5015 0.4986 0.2443
0.7562 0.9994 0.0008
0.9994 0.7442 0.5020
0.5000 0.0000 0.5000
0.0000 0.5000 0.0000
```

Values from the calculation:
* E above lowest polymorph: 17 meV per atom
* total moment: 0.000 μB/atom
* E_form: -0.62 eV/f.u.
* V: 236 Å³/f.u.

# 3
First-principles (PBE) data for crystalline Na3Cd8Sn3 at its relaxed geometry, as listed in the Alexandria database.

```
Na3Cd8Sn3
1.0
-2.3701 5.9848 6.4408
2.3701 -5.9848 6.4408
2.3701 5.9848 -6.4408
Na Cd Sn
3 8 3
Direct
0.0000 0.0000 0.0000
0.2912 0.2912 0.0000
0.7088 0.7088 0.0000
0.0164 0.6341 0.3823
0.1143 0.8419 0.2723
0.2518 0.6341 0.6177
0.4304 0.1581 0.2723
0.5696 0.8419 0.7277
0.7482 0.3659 0.3823
0.8857 0.1581 0.7277
0.9836 0.3659 0.6177
0.3210 0.5000 0.8210
0.5000 0.0000 0.5000
0.6790 0.5000 0.1790
```

Values from the calculation:
* E above lowest polymorph: 8 meV per atom
* total moment: 0.000 μB/atom
* E_form: -0.79 eV/f.u.
* V: 365 Å³/f.u.

# 4
First-principles (PBE) data for crystalline Na2Cd15Sn2 at its relaxed geometry, as listed in the Alexandria database.

```
Na2Cd15Sn2
1.0
5.2604 3.0371 4.9051
-5.2604 3.0371 4.9051
0.0000 -6.0742 4.9051
Na Cd Sn
2 15 2
Direct
0.1541 0.1541 0.1541
0.8459 0.8459 0.8459
0.0000 0.5000 0.5000
0.1463 0.1463 0.6716
0.1463 0.6716 0.1463
0.1859 0.5000 0.8141
0.1859 0.8141 0.5000
0.3284 0.8537 0.8537
0.5000 0.0000 0.5000
0.5000 0.1859 0.8141
0.5000 0.5000 0.0000
0.5000 0.8141 0.1859
0.6716 0.1463 0.1463
0.8141 0.1859 0.5000
0.8141 0.5000 0.1859
0.8537 0.3284 0.8537
0.8537 0.8537 0.3284
0.3967 0.3967 0.3967
0.6033 0.6033 0.6033
```

Values from the calculation:
* total moment: 0.000 μB/atom
* E_form: -0.36 eV/f.u.
* V: 470 Å³/f.u.

# 5
First-principles (PBE) data for crystalline NaCd4Sn at its relaxed geometry, as listed in the Alexandria database.

```
NaCd4Sn
1.0
4.4192 -2.5514 0.0000
4.4192 2.5514 0.0000
-0.0036 0.0000 6.5530
Na Cd Sn
1 4 1
Direct
0.0000 0.0000 0.0000
0.3322 0.3341 0.2468
0.3337 0.3336 0.7549
0.6664 0.6663 0.2451
0.6659 0.6678 0.7532
0.9990 0.0010 0.5000
```

Values from the calculation:
* E above lowest polymorph: 0 meV per atom
* total moment: 0.000 μB/atom
* E_form: -0.32 eV/f.u.
* V: 148 Å³/f.u.

# 6
First-principles (PBE) data for crystalline Na12CdSn7 at its relaxed geometry, as listed in the Alexandria database.

```
Na12CdSn7
1.0
6.7955 3.9234 3.6051
-6.7955 3.9234 3.6051
0.0000 -7.8468 3.6051
Na Cd Sn
12 1 7
Direct
0.0370 0.2647 0.7653
0.1337 0.4108 0.2106
0.2106 0.1337 0.4108
0.2347 0.9630 0.7353
0.2647 0.7653 0.0370
0.4108 0.2106 0.1337
0.5892 0.7894 0.8663
0.7353 0.2347 0.9630
0.7653 0.0370 0.2647
0.7894 0.8663 0.5892
0.8663 0.5892 0.7894
0.9630 0.7353 0.2347
0.5000 0.5000 0.5000
0.0000 0.0000 0.0000
0.1971 0.5638 0.6181
0.3819 0.8029 0.4362
0.4362 0.3819 0.8029
0.5638 0.6181 0.1971
0.6181 0.1971 0.5638
0.8029 0.4362 0.3819
```

Values from the calculation:
* total moment: 0.000 μB/atom
* E_form: -2.56 eV/f.u.
* V: 577 Å³/f.u.